Record 1
First-principles (GGA-PBE) data for a relaxed structure of MnIr3Os, as listed in Alexandria via LeMat-Bulk.

Summary:
- energy above the most stable polymorph in this dataset (meV per atom) = 45.2
- VASP energy (eV/cell) = -38.13
- DFT formation energy (eV per atom) = 1.77
- N(E_F) (states/eV per cell) = 7.67

CIF file:
```
data_MnIr3Os
_cell_length_a 4.3841
_cell_length_b 4.3841
_cell_length_c 4.3841
_cell_angle_alpha 90.00
_cell_angle_beta 90.00
_cell_angle_gamma 90.00
_symmetry_space_group_name_H-M 'P m -3 m'
_symmetry_Int_Tables_number 221
_symmetry_space_group_name_Hall '-P 4 2 3'
loop_
_atom_site_label
_atom_site_fract_x
_atom_site_fract_y
_atom_site_fract_z
_atom_site_occupancy
Mn1 0.0000 0.0000 0.0000 1
Ir1 0.0000 0.0000 0.5000 1
Os1 0.5000 0.5000 0.5000 1
```

=====

Record 2
First-principles (GGA-PBE) data for a relaxed structure of La2TbSm2Mg5, as listed in Alexandria via LeMat-Bulk.

Summary:
- VASP energy (eV/cell) = -63.78
- DFT formation energy (eV per atom) = 0.00
- N(E_F) (states/eV per cell) = 13.66

CIF file:
```
data_La2TbSm2Mg5
_cell_length_a 10.6951
_cell_length_b 10.6951
_cell_length_c 5.1606
_cell_angle_alpha 90.00
_cell_angle_beta 90.00
_cell_angle_gamma 90.00
_symmetry_space_group_name_H-M 'P 4/m b m'
_symmetry_Int_Tables_number 127
_symmetry_space_group_name_Hall '-P 4 2ab'
loop_
_atom_site_label
_atom_site_fract_x
_atom_site_fract_y
_atom_site_fract_z
_atom_site_occupancy
La1 0.1749 0.3251 0.0000 1
Tb1 0.0000 0.0000 0.0000 1
Sm1 0.1227 0.6227 0.0000 1
Mg1 0.0000 0.5000 0.5000 1
Mg2 0.0717 0.8044 0.5000 1
```

=====

Copy entry 2 word for word.
First-principles (GGA-PBE) data for a relaxed structure of La2TbSm2Mg5, as listed in Alexandria via LeMat-Bulk.

Summary:
- VASP energy (eV/cell) = -63.78
- DFT formation energy (eV per atom) = 0.00
- N(E_F) (states/eV per cell) = 13.66

CIF file:
```
data_La2TbSm2Mg5
_cell_length_a 10.6951
_cell_length_b 10.6951
_cell_length_c 5.1606
_cell_angle_alpha 90.00
_cell_angle_beta 90.00
_cell_angle_gamma 90.00
_symmetry_space_group_name_H-M 'P 4/m b m'
_symmetry_Int_Tables_number 127
_symmetry_space_group_name_Hall '-P 4 2ab'
loop_
_atom_site_label
_atom_site_fract_x
_atom_site_fract_y
_atom_site_fract_z
_atom_site_occupancy
La1 0.1749 0.3251 0.0000 1
Tb1 0.0000 0.0000 0.0000 1
Sm1 0.1227 0.6227 0.0000 1
Mg1 0.0000 0.5000 0.5000 1
Mg2 0.0717 0.8044 0.5000 1
```

=====

> Which formula does entry 2 have?

La2TbSm2Mg5

=====

What did the first record say?
First-principles (GGA-PBE) data for a relaxed structure of MnIr3Os, as listed in Alexandria via LeMat-Bulk.

Summary:
- energy above the most stable polymorph in this dataset (meV per atom) = 45.2
- VASP energy (eV/cell) = -38.13
- DFT formation energy (eV per atom) = 1.77
- N(E_F) (states/eV per cell) = 7.67

CIF file:
```
data_MnIr3Os
_cell_length_a 4.3841
_cell_length_b 4.3841
_cell_length_c 4.3841
_cell_angle_alpha 90.00
_cell_angle_beta 90.00
_cell_angle_gamma 90.00
_symmetry_space_group_name_H-M 'P m -3 m'
_symmetry_Int_Tables_number 221
_symmetry_space_group_name_Hall '-P 4 2 3'
loop_
_atom_site_label
_atom_site_fract_x
_atom_site_fract_y
_atom_site_fract_z
_atom_site_occupancy
Mn1 0.0000 0.0000 0.0000 1
Ir1 0.0000 0.0000 0.5000 1
Os1 0.5000 0.5000 0.5000 1
```

=====

> What is the DFT formation energy in the second record?

0.00 eV per atom